[1]
Ta2TcCl: relaxed, PBE-GGA.

As for the energy above the most stable polymorph in this dataset: 990 meV per atom. Its uncorrected formation energy is 867 meV per atom.

Cell lengths 6.485, 6.485, 6.485 Å; angles 90.00, 90.00, 90.00 degrees
Space group F-43m (No. 216)
One atom of each set of equivalent atoms:
Ta: 0.000 0.000 0.000 [4 per cell]
Ta: 0.250 0.250 0.250 [4 per cell]
Tc: 0.000 0.000 0.500 [4 per cell]
Cl: 0.250 0.250 0.750 [4 per cell]


[2]
TaTc2Cl: relaxed, PBE-GGA.

As for the energy above the most stable polymorph in this dataset: 452 meV per atom. Its uncorrected formation energy is 544 meV per atom.

Cell lengths 2.931, 4.567, 4.628 Å; angles 90.00, 90.00, 90.00 degrees
Space group Pmmm (No. 47)
One atom of each set of equivalent atoms:
Ta: 0.000 0.000 0.000 [1 per cell]
Tc: 0.000 0.500 0.500 [1 per cell]
Tc: 0.500 0.500 0.000 [1 per cell]
Cl: 0.500 0.000 0.500 [1 per cell]